Version P
Below is CdGaAg6 after structural relaxation, with properties calculated at the PBE level.

abc: 5.340 5.340 5.342
angles: 83.79 83.63 83.38
Positions (direct):
Cd 0.000 0.000 0.000
Ga 0.500 0.500 0.500
Ag 0.016 0.744 0.527
Ag 0.256 0.470 0.986
Ag 0.473 0.988 0.256
Ag 0.527 0.012 0.744
Ag 0.744 0.530 0.014
Ag 0.984 0.256 0.473

Summary:
* space group: No. 2
* magnetic moment: 0.00 μB/cell



Version Q
Below is CdGaAg6 after structural relaxation, with properties calculated at the PBE level.

abc: 4.163 4.163 8.317
angles: 90.00 90.00 90.00
Positions (direct):
Cd 0.000 0.000 0.000
Ga 0.000 0.000 0.500
Ag 0.000 0.500 0.256
Ag 0.000 0.500 0.744
Ag 0.500 0.000 0.256
Ag 0.500 0.000 0.744
Ag 0.500 0.500 0.000
Ag 0.500 0.500 0.500

Summary:
* space group: No. 123
* magnetic moment: 0.00 μB/cell



Pick the most stable structure from those above. Pick: version Q